# CuAgSN2 PBE optimized geometry
# - ΔE_f (raw) (eV per atom) = 1.968
# - VASP energy (eV/atom) = -3.577
# - total moment (μB per atom) = 0.79
# - crystal system = tetragonal
data_CuAgSN2
_chemical_formula_sum 'Cu1 Ag1 S1 N2'
_cell_length_a 3.9815
_cell_length_b 3.9815
_cell_length_c 5.5169
_cell_angle_alpha 90.00
_cell_angle_beta 90.00
_cell_angle_gamma 90.00
_space_group_name_H-M_alt 'P 4/m m m'
_space_group_IT_number 123
_space_group_name_Hall '-P 4 2'
loop_
_atom_site_label
_atom_site_fract_x
_atom_site_fract_y
_atom_site_fract_z
Cu1 0.0000 0.0000 0.0000
Ag1 0.5000 0.5000 0.5000
S1 0.5000 0.5000 0.0000
N1 0.0000 0.5000 0.5000